# Sc3Ga4Pd, relaxed, DFT PBE
# **ΔH_f (0 K)**: -467 meV per atom
data_Sc3Ga4Pd
_chemical_formula_sum 'Sc6 Ga8 Pd2'
_space_group_name_H-M_alt 'I m m m'
_space_group_IT_number 71
_space_group_name_Hall '-I 2 2'
_cell_length_a 3.1772
_cell_length_b 5.7380
_cell_length_c 16.8851
_cell_angle_alpha 90.00
_cell_angle_beta 90.00
_cell_angle_gamma 90.00
loop_
_atom_site_label
_atom_site_type_symbol
_atom_site_fract_x
_atom_site_fract_y
_atom_site_fract_z
Sc1 Sc 0.0000 0.0000 0.0000
Sc2 Sc 0.0000 0.5000 0.2322
Ga1 Ga 0.0000 0.2605 0.3787
Pd1 Pd 0.0000 0.0000 0.5000

---

# AcBi4Pd6, relaxed, DFT PBE
# **ΔH_f (0 K)**: -372 meV per atom
data_AcBi4Pd6
_chemical_formula_sum 'Ac2 Bi8 Pd12'
_space_group_name_H-M_alt 'I -4 2 m'
_space_group_IT_number 121
_space_group_name_Hall 'I -4 2'
_cell_length_a 7.0433
_cell_length_b 7.0433
_cell_length_c 10.4463
_cell_angle_alpha 90.00
_cell_angle_beta 90.00
_cell_angle_gamma 90.00
loop_
_atom_site_label
_atom_site_type_symbol
_atom_site_fract_x
_atom_site_fract_y
_atom_site_fract_z
Ac1 Ac 0.0000 0.0000 0.0000
Bi1 Bi 0.2066 0.2066 0.6746
Pd1 Pd 0.0000 0.5000 0.0000
Pd2 Pd 0.1660 0.1660 0.4060

---

# Na4Tb3PrTe8, relaxed, DFT PBE
# **ΔE_f (raw)**: -1.321 eV per atom
data_Na4Tb3PrTe8
_chemical_formula_sum 'Na12 Tb9 Pr3 Te24'
_space_group_name_H-M_alt 'R -3 m'
_space_group_IT_number 166
_space_group_name_Hall '-R 3 2"'
_cell_length_a 8.9559
_cell_length_b 8.9559
_cell_length_c 22.7074
_cell_angle_alpha 90.00
_cell_angle_beta 90.00
_cell_angle_gamma 120.00
loop_
_atom_site_label
_atom_site_type_symbol
_atom_site_fract_x
_atom_site_fract_y
_atom_site_fract_z
Na1 Na 0.0000 0.0000 0.0000
Na2 Na 0.0000 0.5000 0.0000
Tb1 Tb 0.0000 0.5000 0.5000
Pr1 Pr 0.0000 0.0000 0.5000
Te1 Te 0.0000 0.0000 0.2440
Te2 Te 0.0072 0.5036 0.7547